Density functional theory data (PBE) for an optimized crystal structure of Ce5SmAs6.

Cell: 7.3054 7.3051 7.3055 Å, 60.00 80.41 70.53°
Each line ends with the local moment (μB).
Fractional coordinates of all 12 atoms:
As: 0.2503 0.9165 0.6655  -0.03
As: 0.2507 0.2509 0.0000  -0.03
As: 0.7497 0.4179 0.6655  -0.03
As: 0.2503 0.5821 0.3345  -0.03
As: 0.7497 0.0835 0.3345  -0.03
As: 0.7493 0.7491 0.0000  -0.03
Ce: 0.5000 0.1665 0.6670  0.64
Ce: 0.0000 0.3333 0.3334  0.64
Ce: 0.0000 0.6667 0.6666  0.64
Ce: 0.5000 0.5000 0.0000  0.64
Ce: 0.5000 0.8335 0.3330  0.64
Sm: 0.0000 0.0000 0.0000  0.02

formation energy = -17.3 eV per formula unit